[1]
PuPaTc: relaxed, PBE-GGA.

M_tot   1.736 μB/atom
Fermi-level density of states   5.637 states/eV/f.u.
Space group   P4/nmm
Energy relative to the lowest polymorph listed for this composition   101 meV per atom
Formation energy from the elements   -1.17 kcal/mol of atoms
Density   14.91 g/cm3

Lattice parameters (Å, degrees): 3.9122 3.9122 8.3416 90.00 90.00 90.00
Closest atoms and distances in Å follow each position.
Atoms (fractional coordinates):
Pa 0.7501 0.7501 0.3513  5 Tc 2.80-2.92
Pa 0.2499 0.2499 0.6487  5 Tc 2.80-2.92
Pu 0.7500 0.2500 0.0000  4 Pu 2.77
Pu 0.2500 0.7500 0.0000  4 Pu 2.77
Tc 0.2500 0.2500 0.2981  5 Pa 2.80-2.92
Tc 0.7500 0.7500 0.7019  5 Pa 2.80-2.92

[2]
PuPa3Tc: relaxed, PBE-GGA.

M_tot   1.041 μB/atom
Fermi-level density of states   8.106 states/eV/f.u.
Space group   P-1
Energy relative to the lowest polymorph listed for this composition   0 meV per atom
Formation energy from the elements   -1.74 kcal/mol of atoms
Density   15.50 g/cm3

Lattice parameters (Å, degrees): 3.3356 7.6880 9.0370 104.50 98.71 88.86
Closest atoms and distances in Å follow each position.
Atoms (fractional coordinates):
Pu 0.9699 0.1066 0.2859  2 Pa 2.79-2.83
Pu 0.8605 0.1180 0.8895  2 Pa 2.79-2.83
Tc 0.0154 0.6519 0.2869  8 Pa 2.85-3.09
Tc 0.8151 0.5728 0.8885  8 Pa 2.85-3.09
Pa 0.5788 0.9338 0.5102  3 Pa 2.94-3.08, 2 Tc 3.02-3.08, 2 Pu 3.13-3.16
Pa 0.4127 0.8512 0.0944  2 Pu 2.79-2.83, 4 Tc 2.91-3.09
Pa 0.6241 0.4676 0.4646  2 Tc 2.85-2.96, 4 Pa 2.94-3.19, 1 Pu 3.14
Pa 0.4178 0.3734 0.0809  2 Pu 2.79-2.83, 4 Tc 2.91-3.09
Pa 0.2518 0.2908 0.6652  3 Pa 2.94-3.08, 2 Tc 3.02-3.08, 2 Pu 3.13-3.16
Pa 0.2064 0.7571 0.7108  2 Tc 2.85-2.96, 4 Pa 2.94-3.19, 1 Pu 3.14

[3]
PuPa6Tc: relaxed, PBE-GGA.

M_tot   0.000 μB/atom
Fermi-level density of states   12.180 states/eV/f.u.
Space group   C2/m
Formation energy from the elements   1.45 kcal/mol of atoms
Density   14.02 g/cm3

Lattice parameters (Å, degrees): 6.4911 6.5746 5.9096 56.20 83.14 77.59
Closest atoms and distances in Å follow each position.
Atoms (fractional coordinates):
Pa 0.7479 0.0295 0.3401  1 Pu 2.50
Pa 0.2521 0.9705 0.6599  1 Pu 2.50
Pa 0.7924 0.7262 0.0000  1 Pu 2.47, 1 Tc 2.65
Pa 0.2521 0.6303 0.3401  1 Pu 2.50
Pa 0.2076 0.2738 0.0000  1 Pu 2.47, 1 Tc 2.65
Pa 0.7479 0.3697 0.6599  1 Pu 2.50
Pu 0.0000 0.0000 0.0000  6 Pa 2.47-2.50
Tc 0.5000 0.5000 0.0000  6 Pa 2.65-2.81

[4]
PuPa3Tc: relaxed, PBE-GGA.

M_tot   0.000 μB/atom
Fermi-level density of states   9.464 states/eV/f.u.
Space group   P2_1/c
Energy relative to the lowest polymorph listed for this composition   122 meV per atom
Formation energy from the elements   1.08 kcal/mol of atoms
Density   15.17 g/cm3

Lattice parameters (Å, degrees): 6.1199 7.0342 10.8514 90.00 75.92 90.00
Closest atoms and distances in Å follow each position.
Atoms (fractional coordinates):
Pa 0.7979 0.3910 0.4196  1 Pu 2.52, 1 Tc 2.79
Pa 0.2979 0.1090 0.9196  1 Pu 2.52, 1 Tc 2.79
Pa 0.6538 0.4924 0.7399  1 Pu 2.60, 2 Tc 2.71-2.76
Pa 0.2021 0.6090 0.5804  1 Pu 2.52, 1 Tc 2.79
Pa 0.3462 0.5076 0.2601  1 Pu 2.60, 2 Tc 2.71-2.76
Pa 0.8933 0.3590 0.0814  1 Pu 2.58, 1 Pa 2.76, 2 Tc 2.80-2.86
Pa 0.1067 0.6410 0.9186  1 Pu 2.58, 1 Pa 2.76, 2 Tc 2.80-2.86
Pa 0.3933 0.1410 0.5814  1 Pu 2.58, 1 Pa 2.76, 2 Tc 2.80-2.86
Pa 0.8462 0.9924 0.7601  1 Pu 2.60, 2 Tc 2.71-2.76
Pa 0.6067 0.8590 0.4186  1 Pu 2.58, 1 Pa 2.76, 2 Tc 2.80-2.86
Pa 0.7021 0.8910 0.0804  1 Pu 2.52, 1 Tc 2.79
Pa 0.1538 0.0076 0.2399  1 Pu 2.60, 2 Tc 2.71-2.76
Pu 0.0694 0.1482 0.4678  1 Pu 2.29, 1 Pa 2.52
Pu 0.9306 0.8518 0.5322  1 Pu 2.29, 1 Pa 2.52
Pu 0.5694 0.3518 0.9678  1 Pu 2.29, 1 Pa 2.52
Pu 0.4306 0.6482 0.0322  1 Pu 2.29, 1 Pa 2.52
Tc 0.0513 0.3325 0.7664  6 Pa 2.71-2.96
Tc 0.9487 0.6675 0.2336  6 Pa 2.71-2.96
Tc 0.5513 0.1675 0.2664  6 Pa 2.71-2.96
Tc 0.4487 0.8325 0.7336  6 Pa 2.71-2.96

[5]
Pu3Pa2Tc4: relaxed, PBE-GGA.

M_tot   1.555 μB/atom
Fermi-level density of states   15.814 states/eV/f.u.
Space group   C2/m
Formation energy from the elements   -1.35 kcal/mol of atoms
Density   14.81 g/cm3

Lattice parameters (Å, degrees): 4.8302 4.8216 8.8253 89.89 90.00 120.06
Closest atoms and distances in Å follow each position.
Atoms (fractional coordinates):
Pu 0.0000 0.0000 0.0000  8 Tc 2.97-2.98
Pu 0.3332 0.6664 0.5594  4 Tc 2.83-2.93, 3 Pu 2.97-2.98, 1 Pa 3.00
Pu 0.6668 0.3336 0.4406  4 Tc 2.83-2.93, 3 Pu 2.97-2.98, 1 Pa 3.00
Pa 0.3336 0.6671 0.2189  7 Tc 2.91-2.99, 1 Pu 3.00
Pa 0.6664 0.3329 0.7811  7 Tc 2.91-2.99, 1 Pu 3.00
Tc 0.0003 0.0006 0.3371  1 Tc 2.88, 4 Pu 2.93-2.97, 3 Pa 2.97-2.98
Tc 0.3333 0.6667 0.8800  4 Pu 2.83-2.98, 4 Pa 2.91-2.99
Tc 0.9997 0.9994 0.6629  1 Tc 2.88, 4 Pu 2.93-2.97, 3 Pa 2.97-2.98
Tc 0.6667 0.3333 0.1200  4 Pu 2.83-2.98, 4 Pa 2.91-2.99

[6]
PuPa12Tc6: relaxed, PBE-GGA.

M_tot   0.000 μB/atom
Fermi-level density of states   24.745 states/eV/f.u.
Space group   R-3
Formation energy from the elements   -0.46 kcal/mol of atoms
Density   12.76 g/cm3

Lattice parameters (Å, degrees): 7.8515 7.8515 7.8515 97.84 97.84 97.84
Closest atoms and distances in Å follow each position.
Atoms (fractional coordinates):
Pa 0.4408 0.8097 0.6023  3 Tc 2.55-2.80
Pa 0.0352 0.6954 0.9053  1 Pu 2.47, 1 Tc 2.76
Pa 0.6954 0.9053 0.0352  1 Pu 2.47, 1 Tc 2.76
Pa 0.0947 0.9648 0.3046  1 Pu 2.47, 1 Tc 2.76
Pa 0.3046 0.0947 0.9648  1 Pu 2.47, 1 Tc 2.76
Pa 0.8097 0.6023 0.4408  3 Tc 2.55-2.80
Pa 0.9053 0.0352 0.6954  1 Pu 2.47, 1 Tc 2.76
Pa 0.5592 0.1903 0.3977  3 Tc 2.55-2.80
Pa 0.3977 0.5592 0.1903  3 Tc 2.55-2.80
Pa 0.6023 0.4408 0.8097  3 Tc 2.55-2.80
Pa 0.9648 0.3046 0.0947  1 Pu 2.47, 1 Tc 2.76
Pa 0.1903 0.3977 0.5592  3 Tc 2.55-2.80
Tc 0.6679 0.8643 0.3743  4 Pa 2.55-2.80
Tc 0.6257 0.3321 0.1357  4 Pa 2.55-2.80
Tc 0.1357 0.6257 0.3321  4 Pa 2.55-2.80
Tc 0.3321 0.1357 0.6257  4 Pa 2.55-2.80
Tc 0.3743 0.6679 0.8643  4 Pa 2.55-2.80
Tc 0.8643 0.3743 0.6679  4 Pa 2.55-2.80
Pu 0.0000 0.0000 0.0000  6 Pa 2.47

[7]
Pu3Pa6Tc: relaxed, PBE-GGA.

M_tot   0.003 μB/atom
Fermi-level density of states   16.612 states/eV/f.u.
Space group   P2_1/m
Formation energy from the elements   5.05 kcal/mol of atoms
Density   17.11 g/cm3

Lattice parameters (Å, degrees): 3.5141 12.6433 11.0794 119.11 90.00 90.00
Closest atoms and distances in Å follow each position.
Atoms (fractional coordinates):
Pa 0.2500 0.8851 0.5336  2 Pu 2.67, 3 Tc 2.86-2.94
Pa 0.7500 0.1149 0.4664  2 Pu 2.67, 3 Tc 2.86-2.94
Pa 0.2500 0.5393 0.3932  3 Pu 2.55-2.56
Pa 0.7500 0.9425 0.1104  3 Pu 2.57-2.64, 2 Tc 2.83
Pa 0.7500 0.6948 0.2187  3 Pu 2.57-2.71
Pa 0.2500 0.3052 0.7813  3 Pu 2.57-2.71
Pa 0.7500 0.4607 0.6068  3 Pu 2.55-2.56
Pa 0.7500 0.7517 0.7154  3 Pu 2.58-2.64
Pa 0.2500 0.0575 0.8896  3 Pu 2.57-2.64, 2 Tc 2.83
Pa 0.2500 0.6635 0.9391  3 Pu 2.61-2.71
Pa 0.2500 0.2483 0.2846  3 Pu 2.58-2.64
Pa 0.7500 0.3365 0.0609  3 Pu 2.61-2.71
Pu 0.2500 0.8622 0.9066  6 Pa 2.57-2.71
Pu 0.7500 0.1378 0.0934  6 Pa 2.57-2.71
Pu 0.7500 0.4893 0.8517  5 Pa 2.56-2.71
Pu 0.7500 0.7041 0.4554  6 Pa 2.55-2.67
Pu 0.2500 0.2959 0.5446  6 Pa 2.55-2.67
Pu 0.2500 0.5107 0.1483  5 Pa 2.56-2.71
Tc 0.7500 0.0893 0.7094  7 Pa 2.83-3.01
Tc 0.2500 0.9107 0.2906  7 Pa 2.83-3.01

[8]
PuPa3Tc4: relaxed, PBE-GGA.

M_tot   0.000 μB/atom
Fermi-level density of states   17.073 states/eV/f.u.
Space group   Imm2
Energy relative to the lowest polymorph listed for this composition   302 meV per atom
Formation energy from the elements   3.98 kcal/mol of atoms
Density   13.19 g/cm3

Lattice parameters (Å, degrees): 6.1723 6.1723 6.1723 103.60 99.08 127.38
Closest atoms and distances in Å follow each position.
Atoms (fractional coordinates):
Pa 0.5714 0.2451 0.8165  3 Tc 2.58-2.88
Pa 0.5714 0.7549 0.3263  3 Tc 2.58-2.88
Pa 0.9289 0.0000 0.9289  6 Tc 3.08-3.38, 2 Pa 3.42
Tc 0.2562 0.3145 0.5706  1 Pu 2.37, 1 Pa 2.58
Tc 0.5225 0.2485 0.2740  1 Pu 2.40
Tc 0.2562 0.6855 0.9417  1 Pu 2.37, 1 Pa 2.58
Tc 0.0255 0.7515 0.2740  1 Pu 2.40
Pu 0.0190 0.5000 0.5190  4 Tc 2.37-2.40

[9]
PuThPaTc: relaxed, PBE-GGA.

M_tot   1.690 μB/atom
Fermi-level density of states   9.813 states/eV/f.u.
Space group   F-43m
Formation energy from the elements   2.28 kcal/mol of atoms
Density   14.63 g/cm3

Lattice parameters (Å, degrees): 5.0561 5.0561 5.0561 60.00 60.00 60.00
Closest atoms and distances in Å follow each position.
Atoms (fractional coordinates):
Pa 0.0000 0.0000 0.0000  4 Pu 3.10, 4 Tc 3.10
Th 0.5000 0.5000 0.5000  4 Tc 3.10, 4 Pu 3.10
Pu 0.2500 0.2500 0.2500  4 Th 3.10, 4 Pa 3.10
Tc 0.7500 0.7500 0.7500  4 Th 3.10, 4 Pa 3.10

[10]
PuPaTlTc: relaxed, PBE-GGA.

M_tot   1.319 μB/atom
Fermi-level density of states   8.065 states/eV/f.u.
Space group   P4mm
Formation energy from the elements   -1.42 kcal/mol of atoms
Density   13.76 g/cm3

Lattice parameters (Å, degrees): 3.2719 3.2719 8.7662 90.00 90.00 90.00
Closest atoms and distances in Å follow each position.
Atoms (fractional coordinates):
Tc 0.0000 0.0000 0.5638  4 Pa 2.87, 4 Pu 2.98
Tl 0.0000 0.0000 0.0712  4 Tl 3.27, 4 Pu 3.45, 4 Pa 3.50
Pa 0.5000 0.5000 0.3709  4 Tc 2.87
Pu 0.5000 0.5000 0.7788  4 Tc 2.98, 4 Pu 3.27

One value per record, in order, for E_tot: -11.448, -10.713, -10.146, -10.590, -11.553, -10.045, -10.815, -10.363, -10.305, -9.202 eV per atom.